[1]
! Zr2In2Rh3 | the Alexandria database | GGA-PBE | optimized geometry; values from VASP
&SYSTEM
  ibrav = 0, nat = 7, ntyp = 3
/
ATOMIC_SPECIES
Zr 91.22 Zr.upf
In 114.82 In.upf
Rh 102.91 Rh.upf
CELL_PARAMETERS angstrom
4.007 -2.319 0.000
4.007 2.319 0.000
-2.667 0.000 7.254
ATOMIC_POSITIONS angstrom
Zr 0.000 0.000 2.562
Zr 5.347 0.000 4.692
In 2.669 0.000 0.798
In 2.678 0.000 6.455
Rh 0.004 0.000 5.267
Rh 2.673 0.000 3.627
Rh 5.343 0.000 1.986
! Energy of formation (eV per atom): -0.669
! Energy (eV per atom): -7.04
! Size of the total moment (μB per cell): 0.00

=====

[2]
! ZrIn2Rh | the Alexandria database | GGA-PBE | optimized geometry; values from VASP
&SYSTEM
  ibrav = 0, nat = 4, ntyp = 3
/
ATOMIC_SPECIES
Zr 91.22 Zr.upf
In 114.82 In.upf
Rh 102.91 Rh.upf
CELL_PARAMETERS angstrom
1.607 0.928 9.190
-1.607 0.928 9.190
0.000 -1.855 9.190
ATOMIC_POSITIONS angstrom
Zr 0.000 0.000 0.000
In 0.000 0.000 6.633
In 0.000 0.000 20.936
Rh 0.000 0.000 13.785
! Energy of formation (eV per atom): -0.154
! Energy (eV per atom): -5.50
! Size of the total moment (μB per cell): 0.00

=====

[3]
! ZrIn2Rh | the Alexandria database | GGA-PBE | optimized geometry; values from VASP
&SYSTEM
  ibrav = 0, nat = 4, ntyp = 3
/
ATOMIC_SPECIES
Zr 91.22 Zr.upf
In 114.82 In.upf
Rh 102.91 Rh.upf
CELL_PARAMETERS angstrom
0.000 3.395 3.395
3.395 0.000 3.395
3.395 3.395 0.000
ATOMIC_POSITIONS angstrom
Zr 0.000 0.000 0.000
In 1.697 1.697 1.697
In 5.092 5.092 5.092
Rh 3.395 3.395 3.395
! Energy of formation (eV per atom): -0.209
! Energy (eV per atom): -5.55
! Size of the total moment (μB per cell): 0.00

=====

[4]
! In3Ru | the Alexandria database | GGA-PBE | optimized geometry; values from VASP
&SYSTEM
  ibrav = 0, nat = 4, ntyp = 2
/
ATOMIC_SPECIES
In 114.82 In.upf
Ru 101.07 Ru.upf
CELL_PARAMETERS angstrom
3.202 0.000 0.000
0.000 3.202 0.000
0.000 0.000 8.563
ATOMIC_POSITIONS angstrom
In 0.000 0.000 0.000
In 1.601 1.601 2.634
In 1.601 1.601 5.928
Ru 0.000 0.000 4.281
! Energy of formation (eV per atom): 0.099
! Energy (eV per atom): -4.27
! Size of the total moment (μB per cell): 0.00

=====

[5]
! In3Ru | the Alexandria database | GGA-PBE | optimized geometry; values from VASP
&SYSTEM
  ibrav = 0, nat = 4, ntyp = 2
/
ATOMIC_SPECIES
In 114.82 In.upf
Ru 101.07 Ru.upf
CELL_PARAMETERS angstrom
-1.532 2.267 6.566
1.532 -2.267 6.566
1.532 2.267 -6.566
ATOMIC_POSITIONS angstrom
In 0.000 0.000 0.000
In 1.532 0.000 4.195
In 0.000 2.267 2.370
Ru 0.000 0.000 6.566
! Energy of formation (eV per atom): 0.034
! Energy (eV per atom): -4.34
! Size of the total moment (μB per cell): 0.00

=====

[6]
! InRu2 | the Alexandria database | GGA-PBE | optimized geometry; values from VASP
&SYSTEM
  ibrav = 0, nat = 3, ntyp = 2
/
ATOMIC_SPECIES
In 114.82 In.upf
Ru 101.07 Ru.upf
CELL_PARAMETERS angstrom
-1.453 1.881 4.409
1.453 -1.881 4.409
1.453 1.881 -4.409
ATOMIC_POSITIONS angstrom
In 0.000 0.000 0.000
Ru 0.000 0.000 2.813
Ru 0.000 0.000 6.004
! Energy of formation (eV per atom): 0.221
! Energy (eV per atom): -6.88
! Size of the total moment (μB per cell): 0.00

=====

| no. | calculated volume (A^3/atom) | density of states at the Fermi level (states/eV/cell) |
| --- | --- | --- |
| 1 | 19.3 | 2.67 |
| 2 | 20.5 | 3.23 |
| 3 | 19.6 | 6.46 |
| 4 | 21.9 | 3.03 |
| 5 | 22.8 | 2.36 |
| 6 | 16.1 | 2.99 |